Nd12Ni6Sn, single point on PBEsol structure, DFT SCAN; crystal system = cubic; symmetry = Im-3 (204); total moment = 0.00 μB/f.u.; DFT total energy = -34.850 eV per atom; calculated formation energy = -0.326 eV per atom
1.0
-6.5976 -1.4431 -5.2387
7.2857 -2.0856 -3.9527
-0.8731 -4.7452 7.0552
Nd Ni Sn
12 6 1
direct
0.3058 0.1859 0.4918
0.1859 0.8801 0.6942
0.5082 0.6942 0.8141
0.1859 0.4918 0.3058
0.4918 0.3058 0.1859
0.8141 0.1199 0.3058
0.8801 0.6942 0.1859
0.1199 0.3058 0.8141
0.8141 0.5082 0.6942
0.3058 0.8141 0.1199
0.6942 0.1859 0.8801
0.6942 0.8141 0.5082
0.3782 0.8782 0.5000
0.1218 0.5000 0.6218
0.5000 0.3782 0.8782
0.8782 0.5000 0.3782
0.5000 0.6218 0.1218
0.6218 0.1218 0.5000
0.0000 0.0000 0.0000